No. 1
First-principles (GGA-PBE) data for an optimized crystal structure of Rb2LaGe2O6, as listed in Alexandria via LeMat-Bulk.

## Properties
**Total moment**: 0.95 μB/f.u.
**Theoretical density**: 4.4 g cm⁻³
**Uncorrected formation energy**: -2016.4 meV/atom

Lattice parameters (Å, degrees): 6.2520 6.2520 7.2670 116.74 116.74 60.06
Last column: nearest neighbours and their distance in Å.
Atoms (fractional coordinates):
Rb1 0.2097 0.2097 0.1693  9 O 3.07-3.41
Rb2 0.7903 0.7903 0.8307  9 O 3.07-3.41
La1 0.0000 0.0000 0.5000  6 O 2.40-2.41
Ge1 0.4457 0.4457 0.7887  3 O 1.75-1.76
Ge2 0.5543 0.5543 0.2113  3 O 1.75-1.76
O1 0.2445 0.7164 0.2451  1 Ge 1.76
O2 0.2581 0.2581 0.6727  1 Ge 1.75
O3 0.2836 0.7555 0.7549  1 Ge 1.76
O4 0.7164 0.2445 0.2451  1 Ge 1.76
O5 0.7419 0.7419 0.3273  1 Ge 1.75
O6 0.7555 0.2836 0.7549  1 Ge 1.76

=====

No. 2
First-principles (GGA-PBE) data for an optimized crystal structure of SrMg2TlCo, as listed in Alexandria via LeMat-Bulk.

## Properties
**Total moment**: 0.01 μB/f.u.
**Theoretical density**: 5.3 g cm⁻³
**ΔE_f**: -11 meV per atom

Lattice parameters (Å, degrees): 4.9718 4.9718 5.0849 90.00 90.00 90.00
Last column: nearest neighbours and their distance in Å.
Atoms (fractional coordinates):
Sr1 0.0000 0.0000 0.0000  4 Tl 3.52, 8 Mg 3.56
Mg1 0.0000 0.5000 0.5000  2 Co 2.49
Mg2 0.5000 0.0000 0.5000  2 Co 2.49
Tl1 0.5000 0.5000 0.0000  2 Co 2.54
Co1 0.5000 0.5000 0.5000  4 Mg 2.49, 2 Tl 2.54

=====

No. 3
First-principles (GGA-PBE) data for an optimized crystal structure of DyTmSn2, as listed in Alexandria via LeMat-Bulk.

## Properties
**Total moment**: 0.00 μB/f.u.
**Theoretical density**: 8.7 g cm⁻³
**ΔE_f**: -693 meV per atom

Lattice parameters (Å, degrees): 4.2883 6.0956 6.0956 42.88 90.00 90.00
Last column: nearest neighbours and their distance in Å.
Atoms (fractional coordinates):
Dy1 0.0000 0.0000 0.0000  7 Sn 3.08-3.42
Tm1 0.5000 0.2667 0.2667  7 Sn 3.08-3.42
Sn1 0.0000 0.7282 0.7282  2 Sn 3.04, 1 Dy 3.08, 4 Tm 3.12
Sn2 0.5000 0.5383 0.5383  2 Sn 3.04, 1 Tm 3.08, 4 Dy 3.12